# GGA-PBE La4Ge2SeS, optimized geometry
data_La4Ge2SeS
_cell_length_a 7.521
_cell_length_b 4.360
_cell_length_c 7.551
_cell_angle_alpha 90.00
_cell_angle_beta 109.54
_cell_angle_gamma 90.00
_symmetry_space_group_name_H-M 'P 1 2/m 1'
_symmetry_Int_Tables_number 10
loop_
_symmetry_equiv_pos_as_xyz
'x,y,z'
'-x,-y,-z'
'-x,y,-z'
'x,-y,z'
loop_
_atom_site_label
_atom_site_type_symbol
_atom_site_fract_x
_atom_site_fract_y
_atom_site_fract_z
La1 La 0.245 0.000 0.244
La2 La 0.248 0.500 0.753
Ge1 Ge 0.000 0.000 0.500
Ge2 Ge 0.000 0.500 0.000
Se1 Se 0.500 0.500 0.500
S1 S 0.500 0.000 0.000
# * VASP energy: -48.29 eV per cell
# * total magnetic moment: 0.000 μB/atom

# GGA-PBE LiSb2Ru, optimized geometry
data_LiSb2Ru
_cell_length_a 3.237
_cell_length_b 3.234
_cell_length_c 7.679
_cell_angle_alpha 90.00
_cell_angle_beta 92.06
_cell_angle_gamma 90.00
_symmetry_space_group_name_H-M 'P 1 2/m 1'
_symmetry_Int_Tables_number 10
loop_
_symmetry_equiv_pos_as_xyz
'x,y,z'
'-x,-y,-z'
'-x,y,-z'
'x,-y,z'
loop_
_atom_site_label
_atom_site_type_symbol
_atom_site_fract_x
_atom_site_fract_y
_atom_site_fract_z
Li1 Li 0.000 0.000 0.000
Sb1 Sb 0.485 0.500 0.283
Ru1 Ru 0.000 0.000 0.500
# * VASP energy: -20.19 eV per cell
# * total magnetic moment: 0.207 μB/atom
# * excess energy over the best structure of this formula in the dataset: 0 kJ/mol of formula units

# GGA-PBE PrMg2Cd7, optimized geometry
data_PrMg2Cd7
_cell_length_a 6.667
_cell_length_b 18.710
_cell_length_c 4.304
_cell_angle_alpha 90.00
_cell_angle_beta 90.00
_cell_angle_gamma 90.00
_symmetry_space_group_name_H-M 'C m m m'
_symmetry_Int_Tables_number 65
_symmetry_space_group_name_Hall '-C 2 2'
loop_
_atom_site_label
_atom_site_type_symbol
_atom_site_fract_x
_atom_site_fract_y
_atom_site_fract_z
Pr1 Pr 0.000 0.000 0.000
Mg1 Mg 0.000 0.260 0.500
Cd1 Cd 0.000 0.386 0.000
Cd2 Cd 0.000 0.500 0.500
Cd3 Cd 0.209 0.121 0.500
# * DFT formation energy: -0.02 eV/atom
# * VASP energy: -29.08 eV per cell
# * total magnetic moment: 0.000 μB/atom

What did the second record say?
# GGA-PBE LiSb2Ru, optimized geometry
data_LiSb2Ru
_cell_length_a 3.237
_cell_length_b 3.234
_cell_length_c 7.679
_cell_angle_alpha 90.00
_cell_angle_beta 92.06
_cell_angle_gamma 90.00
_symmetry_space_group_name_H-M 'P 1 2/m 1'
_symmetry_Int_Tables_number 10
loop_
_symmetry_equiv_pos_as_xyz
'x,y,z'
'-x,-y,-z'
'-x,y,-z'
'x,-y,z'
loop_
_atom_site_label
_atom_site_type_symbol
_atom_site_fract_x
_atom_site_fract_y
_atom_site_fract_z
Li1 Li 0.000 0.000 0.000
Sb1 Sb 0.485 0.500 0.283
Ru1 Ru 0.000 0.000 0.500
# * VASP energy: -20.19 eV per cell
# * total magnetic moment: 0.207 μB/atom
# * excess energy over the best structure of this formula in the dataset: 0 kJ/mol of formula units